[1]
An optimized crystal structure of Sm3Zn5Au6, computed with PBE.

Cell: 4.5578 9.1757 13.3702 Å, 90.00 90.00 90.00°
Atoms (fractional coordinates):
Sm1 0.0000 0.2509 0.7022
Sm2 0.5000 0.7491 0.2022
Sm3 0.5000 0.7491 0.7978
Sm4 0.0000 0.2425 0.0000
Sm5 0.5000 0.7575 0.5000
Sm6 0.0000 0.2509 0.2978
Zn1 0.0000 0.5314 0.8652
Zn2 0.0000 0.9004 0.6676
Zn3 0.0000 0.7446 0.0000
Zn4 0.5000 0.4686 0.6348
Zn5 0.5000 0.2554 0.5000
Zn6 0.0000 0.5314 0.1348
Zn7 0.5000 0.4686 0.3652
Zn8 0.0000 0.9004 0.3324
Zn9 0.5000 0.0996 0.8324
Zn10 0.5000 0.0996 0.1676
Au1 0.0000 0.9624 0.8649
Au2 0.5000 0.0376 0.6351
Au3 0.5000 0.3795 0.8370
Au4 0.5000 0.5772 0.0000
Au5 0.0000 0.4228 0.5000
Au6 0.0000 0.6205 0.6630
Au7 0.0000 0.6205 0.3370
Au8 0.5000 0.9401 0.0000
Au9 0.0000 0.9624 0.1351
Au10 0.5000 0.3795 0.1630
Au11 0.0000 0.0599 0.5000
Au12 0.5000 0.0376 0.3649

Properties
Spin magnetization ... 0.000 μB per formula unit
DFT formation energy ... -563 meV per atom
V ... 279.6 Å³/f.u.



[2]
An optimized crystal structure of KAlTl2Cl6, computed with PBE.

Cell: 7.7147 7.1486 7.1486 Å, 120.00 90.00 90.00°
Atoms (fractional coordinates):
K1 0.5000 0.0000 0.0000
Al1 0.0000 0.0000 0.0000
Tl1 0.1124 0.3333 0.6667
Tl2 0.8876 0.6667 0.3333
Cl1 0.8227 0.1551 0.3102
Cl2 0.8227 0.1551 0.8449
Cl3 0.8227 0.6898 0.8449
Cl4 0.1773 0.8449 0.1551
Cl5 0.1773 0.3102 0.1551
Cl6 0.1773 0.8449 0.6898

Properties
Spin magnetization ... 0.000 μB per formula unit
Formation energy without anion corrections ... -1.421 eV/atom
V ... 341.4 Å³/f.u.